# 1
VASP calculation (meta-GGA SCAN) on a crystal of NaCrBr2N relaxed with PBEsol.

Cell: 4.897 4.897 6.520 Å, 90.00 90.00 90.00°
Each line ends with the local moment (μB).
Positions (direct):
Br  0.500  0.000  0.000  0.00
Na  0.000  0.000  0.500  -0.01
Br  0.000  0.500  0.000  0.00
Cr  0.000  0.000  0.000  3.90
N  0.500  0.500  0.500  1.69

Uncorrected formation energy   0.41 eV per atom
D(E_F)   2.361 states/eV/f.u.
E_tot   -68.8 eV per cell

---

# 2
VASP calculation (meta-GGA SCAN) on a crystal of KHgP relaxed with PBEsol.

Cell: 2.918 5.403 5.487 Å, 119.49 105.42 90.00°
Positions (direct):
P  0.315  0.315  0.630
Hg  0.016  0.016  0.031
K  0.669  0.669  0.339

Energy of formation from the pure elements   12 kJ/mol of atoms
D(E_F)   1.039 states/eV/f.u.
E_tot   -86.5 eV per cell

---

# 3
VASP calculation (meta-GGA SCAN) on a crystal of CrHPb2 relaxed with PBEsol.

Cell: 4.784 4.784 4.784 Å, 60.00 60.00 60.00°
Each line ends with the local moment (μB).
Positions (direct):
Pb  0.750  0.750  0.750  0.00
Pb  0.250  0.250  0.250  0.00
Cr  0.500  0.500  0.500  3.95
H  0.000  0.000  0.000  0.21

D(E_F)   1.549 states/eV/f.u.
E_tot   -171.2 eV per cell

---

# 4
VASP calculation (meta-GGA SCAN) on a crystal of Co21B6Mo2 relaxed with PBEsol.

Cell: 7.285 7.285 7.285 Å, 60.00 60.00 60.00°
Each line ends with the local moment (μB).
Positions (direct):
Co  0.618  0.618  0.145  0.50
Co  0.000  0.000  0.000  1.99
B  0.275  0.275  0.725  -0.08
Co  0.855  0.382  0.382  0.50
Co  0.662  0.000  0.000  1.48
Co  0.382  0.382  0.382  0.50
Co  0.662  0.000  0.338  1.48
Co  0.618  0.618  0.618  0.50
Co  0.382  0.855  0.382  0.50
B  0.725  0.725  0.275  -0.08
Co  0.382  0.382  0.855  0.50
Co  0.662  0.338  0.000  1.48
B  0.275  0.725  0.275  -0.08
Co  0.000  0.662  0.338  1.48
Co  0.000  0.000  0.338  1.48
Co  0.000  0.000  0.662  1.48
Co  0.000  0.338  0.662  1.48
B  0.725  0.275  0.725  -0.08
Co  0.338  0.000  0.000  1.48
B  0.725  0.275  0.275  -0.08
Co  0.618  0.145  0.618  0.50
Mo  0.750  0.750  0.750  -0.23
Co  0.000  0.338  0.000  1.48
Co  0.145  0.618  0.618  0.50
Co  0.000  0.662  0.000  1.48
Mo  0.250  0.250  0.250  -0.23
Co  0.338  0.662  0.000  1.48
Co  0.338  0.000  0.662  1.48
B  0.275  0.725  0.725  -0.08

Energy of formation from the pure elements   -13 kJ/mol of atoms
D(E_F)   21.681 states/eV/f.u.
E_tot   -481.6 eV per cell

---

# 5
VASP calculation (meta-GGA SCAN) on a crystal of CaSb2H2 relaxed with PBEsol.

Cell: 4.240 4.240 5.794 Å, 111.46 111.46 90.00°
Positions (direct):
H  0.250  0.750  0.500
Ca  0.000  0.000  0.000
Sb  0.354  0.354  0.708
H  0.750  0.250  0.500
Sb  0.646  0.646  0.292

Polymorph energy (0 for the lowest one)   560 meV per atom
D(E_F)   1.197 states/eV/f.u.
E_tot   -90.1 eV per cell

---

# 6
VASP calculation (meta-GGA SCAN) on a crystal of BiPSe3 relaxed with PBEsol.

Cell: 4.815 4.815 4.815 Å, 90.00 90.00 90.00°
Positions (direct):
Se  0.500  0.000  0.000
Se  0.000  0.500  0.000
Se  0.000  0.000  0.500
Bi  0.500  0.500  0.500
P  0.000  0.000  0.000

Uncorrected formation energy   0.29 eV per atom
Polymorph energy (0 for the lowest one)   0 meV per atom
D(E_F)   2.547 states/eV/f.u.
E_tot   -147.8 eV per cell